1.
Entry from the Alexandria database: a relaxed Tl2CdHg2Bi crystal (GGA-PBE).

Unit cell a=5.453 b=9.919 c=6.463 alpha=90.00 beta=90.00 gamma=90.00
Fractional positions:
Tl (0.000, 0.024, 0.000)
Tl (0.000, 0.976, 0.500)
Tl (0.500, 0.172, 0.327)
Tl (0.500, 0.828, 0.827)
Cd (0.000, 0.315, 0.657)
Cd (0.000, 0.685, 0.157)
Hg (0.000, 0.342, 0.165)
Hg (0.000, 0.658, 0.665)
Hg (0.500, 0.179, 0.827)
Hg (0.500, 0.821, 0.327)
Bi (0.500, 0.494, 0.612)
Bi (0.500, 0.506, 0.112)

---

2.
Entry from the Alexandria database: a relaxed TlCd2Hg2Bi crystal (GGA-PBE).

Unit cell a=7.305 b=5.967 c=8.151 alpha=90.00 beta=103.63 gamma=90.00
Fractional positions:
Tl (0.141, 0.250, 0.046)
Tl (0.859, 0.750, 0.954)
Cd (0.018, 0.750, 0.616)
Cd (0.399, 0.250, 0.445)
Cd (0.601, 0.750, 0.555)
Cd (0.982, 0.250, 0.384)
Hg (0.383, 0.000, 0.806)
Hg (0.383, 0.500, 0.806)
Hg (0.617, 0.000, 0.194)
Hg (0.617, 0.500, 0.194)
Bi (0.206, 0.750, 0.322)
Bi (0.794, 0.250, 0.678)

---

3.
Entry from the Alexandria database: a relaxed Tl2Cd2HgBi2 crystal (GGA-PBE).

Unit cell a=6.354 b=6.354 c=8.752 alpha=123.15 beta=123.15 gamma=49.67
Fractional positions:
Tl (0.064, 0.064, 0.332)
Tl (0.936, 0.936, 0.668)
Cd (0.252, 0.252, 0.097)
Cd (0.748, 0.748, 0.903)
Hg (0.500, 0.500, 0.500)
Bi (0.334, 0.334, 0.814)
Bi (0.666, 0.666, 0.186)

---

4.
Entry from the Alexandria database: a relaxed TlCdHgBi crystal (GGA-PBE).

Unit cell a=5.442 b=5.442 c=5.442 alpha=60.00 beta=60.00 gamma=60.00
Fractional positions:
Tl (0.000, 0.000, 0.000)
Cd (0.500, 0.500, 0.500)
Hg (0.250, 0.250, 0.250)
Bi (0.750, 0.750, 0.750)

Output
ΔE to the lowest computed polymorph, eV/f.u.: 0.00

---

5.
Entry from the Alexandria database: a relaxed Tl3CdHg2Bi3 crystal (GGA-PBE).

Unit cell a=8.136 b=8.136 c=4.841 alpha=90.00 beta=90.00 gamma=120.00
Fractional positions:
Tl (0.000, 0.588, 0.000)
Tl (0.412, 0.412, 0.000)
Tl (0.588, 0.000, 0.000)
Cd (0.000, 0.000, 0.000)
Hg (0.333, 0.667, 0.500)
Hg (0.667, 0.333, 0.500)
Bi (0.000, 0.257, 0.500)
Bi (0.257, 0.000, 0.500)
Bi (0.743, 0.743, 0.500)

---

6.
Entry from the Alexandria database: a relaxed UCdHgBi crystal (GGA-PBE).

Unit cell a=5.306 b=5.306 c=5.306 alpha=60.00 beta=60.00 gamma=60.00
Fractional positions:
U (0.000, 0.000, 0.000)
Cd (0.500, 0.500, 0.500)
Hg (0.750, 0.750, 0.750)
Bi (0.250, 0.250, 0.250)

---

7.
Entry from the Alexandria database: a relaxed YCdHgBi crystal (GGA-PBE).

Unit cell a=4.442 b=4.611 c=5.093 alpha=90.00 beta=90.00 gamma=90.00
Fractional positions:
Y (0.000, 0.000, 0.000)
Cd (0.000, 0.500, 0.500)
Hg (0.500, 0.000, 0.500)
Bi (0.500, 0.500, 0.000)

Output
ΔE to the lowest computed polymorph, eV/f.u.: 0.00

---

8.
Entry from the Alexandria database: a relaxed YCdHgBi crystal (GGA-PBE).

Unit cell a=5.349 b=5.349 c=5.349 alpha=60.00 beta=60.00 gamma=60.00
Fractional positions:
Y (0.000, 0.000, 0.000)
Cd (0.500, 0.500, 0.500)
Hg (0.750, 0.750, 0.750)
Bi (0.250, 0.250, 0.250)

Output
ΔE to the lowest computed polymorph, eV/f.u.: 0.67

---

9.
Entry from the Alexandria database: a relaxed ZnCdHgBi crystal (GGA-PBE).

Unit cell a=5.199 b=5.199 c=5.199 alpha=60.00 beta=60.00 gamma=60.00
Fractional positions:
Zn (0.000, 0.000, 0.000)
Cd (0.500, 0.500, 0.500)
Hg (0.250, 0.250, 0.250)
Bi (0.750, 0.750, 0.750)

---

10.
Entry from the Alexandria database: a relaxed HoCd2Bi crystal (GGA-PBE).

Unit cell a=11.960 b=11.960 c=11.960 alpha=16.28 beta=16.28 gamma=16.28
Fractional positions:
Ho (0.000, 0.000, 0.000)
Cd (0.088, 0.088, 0.088)
Cd (0.912, 0.912, 0.912)
Bi (0.500, 0.500, 0.500)

---

11.
Entry from the Alexandria database: a relaxed Ho2CdBi crystal (GGA-PBE).

Unit cell a=5.380 b=5.380 c=5.380 alpha=60.00 beta=60.00 gamma=60.00
Fractional positions:
Ho (0.250, 0.250, 0.250)
Ho (0.750, 0.750, 0.750)
Cd (0.000, 0.000, 0.000)
Bi (0.500, 0.500, 0.500)

Output
ΔE to the lowest computed polymorph, eV/f.u.: 0.28

---

12.
Entry from the Alexandria database: a relaxed HoCdBi2 crystal (GGA-PBE).

Unit cell a=5.107 b=5.107 c=4.255 alpha=90.00 beta=90.00 gamma=90.00
Fractional positions:
Ho (0.000, 0.000, 0.000)
Cd (0.500, 0.500, 0.000)
Bi (0.000, 0.500, 0.500)
Bi (0.500, 0.000, 0.500)

---

13.
Entry from the Alexandria database: a relaxed Ho5CdBi2 crystal (GGA-PBE).

Unit cell a=6.446 b=6.446 c=15.024 alpha=90.00 beta=90.00 gamma=128.93
Fractional positions:
Ho (0.070, 0.930, 0.750)
Ho (0.120, 0.880, 0.052)
Ho (0.120, 0.880, 0.448)
Ho (0.429, 0.571, 0.097)
Ho (0.429, 0.571, 0.403)
Ho (0.571, 0.429, 0.597)
Ho (0.571, 0.429, 0.903)
Ho (0.880, 0.120, 0.552)
Ho (0.880, 0.120, 0.948)
Ho (0.930, 0.070, 0.250)
Cd (0.223, 0.777, 0.250)
Cd (0.777, 0.223, 0.750)
Bi (0.288, 0.712, 0.618)
Bi (0.288, 0.712, 0.882)
Bi (0.712, 0.288, 0.118)
Bi (0.712, 0.288, 0.382)

---

14.
Entry from the Alexandria database: a relaxed Ho6Cd5Bi crystal (GGA-PBE).

Unit cell a=9.205 b=9.205 c=9.205 alpha=146.36 beta=132.67 gamma=59.31
Fractional positions:
Ho (0.080, 0.332, 0.748)
Ho (0.246, 0.000, 0.246)
Ho (0.417, 0.668, 0.748)
Ho (0.583, 0.332, 0.252)
Ho (0.754, 0.000, 0.754)
Ho (0.920, 0.668, 0.252)
Cd (0.000, 0.500, 0.500)
Cd (0.167, 0.167, 0.000)
Cd (0.326, 0.826, 0.500)
Cd (0.674, 0.174, 0.500)
Cd (0.833, 0.833, 0.000)
Bi (0.500, 0.500, 0.000)

---

15.
Entry from the Alexandria database: a relaxed Ho4CdBi2 crystal (GGA-PBE).

Unit cell a=6.198 b=6.677 c=10.293 alpha=90.00 beta=103.26 gamma=90.00
Fractional positions:
Ho (0.023, 0.004, 0.255)
Ho (0.023, 0.496, 0.255)
Ho (0.356, 0.750, 0.533)
Ho (0.465, 0.750, 0.163)
Ho (0.535, 0.250, 0.837)
Ho (0.644, 0.250, 0.467)
Ho (0.977, 0.504, 0.745)
Ho (0.977, 0.996, 0.745)
Cd (0.416, 0.750, 0.829)
Cd (0.584, 0.250, 0.171)
Bi (0.133, 0.250, 0.008)
Bi (0.188, 0.250, 0.538)
Bi (0.812, 0.750, 0.462)
Bi (0.867, 0.750, 0.992)

---

16.
Entry from the Alexandria database: a relaxed Ho8CdBi2 crystal (GGA-PBE).

Unit cell a=9.351 b=9.351 c=7.003 alpha=94.42 beta=94.42 gamma=32.00
Fractional positions:
Ho (0.033, 0.033, 0.245)
Ho (0.212, 0.212, 0.112)
Ho (0.331, 0.331, 0.595)
Ho (0.410, 0.410, 0.058)
Ho (0.590, 0.590, 0.942)
Ho (0.669, 0.669, 0.405)
Ho (0.788, 0.788, 0.888)
Ho (0.967, 0.967, 0.755)
Cd (0.500, 0.500, 0.500)
Bi (0.153, 0.153, 0.669)
Bi (0.847, 0.847, 0.331)

---

17.
Entry from the Alexandria database: a relaxed HoCd2Bi crystal (GGA-PBE).

Unit cell a=4.496 b=4.496 c=5.101 alpha=90.00 beta=90.00 gamma=90.00
Fractional positions:
Ho (0.000, 0.000, 0.000)
Cd (0.000, 0.500, 0.500)
Cd (0.500, 0.000, 0.500)
Bi (0.500, 0.500, 0.000)

---

18.
Entry from the Alexandria database: a relaxed Ho8Cd2Bi crystal (GGA-PBE).

Unit cell a=9.441 b=9.441 c=7.238 alpha=103.35 beta=103.35 gamma=31.46
Fractional positions:
Ho (0.026, 0.026, 0.245)
Ho (0.200, 0.200, 0.807)
Ho (0.334, 0.334, 0.544)
Ho (0.407, 0.407, 0.037)
Ho (0.593, 0.593, 0.963)
Ho (0.666, 0.666, 0.456)
Ho (0.800, 0.800, 0.193)
Ho (0.974, 0.974, 0.755)
Cd (0.192, 0.192, 0.220)
Cd (0.808, 0.808, 0.780)
Bi (0.500, 0.500, 0.500)

---

19.
Entry from the Alexandria database: a relaxed Ho2Cd16Bi crystal (GGA-PBE).

Unit cell a=7.688 b=7.688 c=7.688 alpha=84.10 beta=84.10 gamma=84.10
Fractional positions:
Ho (0.000, 0.000, 0.000)
Ho (0.329, 0.329, 0.329)
Cd (0.022, 0.022, 0.465)
Cd (0.022, 0.465, 0.022)
Cd (0.138, 0.687, 0.687)
Cd (0.318, 0.318, 0.818)
Cd (0.318, 0.818, 0.318)
Cd (0.347, 0.657, 0.987)
Cd (0.347, 0.987, 0.657)
Cd (0.465, 0.022, 0.022)
Cd (0.657, 0.347, 0.987)
Cd (0.657, 0.987, 0.347)
Cd (0.687, 0.138, 0.687)
Cd (0.687, 0.687, 0.138)
Cd (0.766, 0.766, 0.766)
Cd (0.818, 0.318, 0.318)
Cd (0.987, 0.347, 0.657)
Cd (0.987, 0.657, 0.347)
Bi (0.555, 0.555, 0.555)

---

20.
Entry from the Alexandria database: a relaxed Ho2CdBi crystal (GGA-PBE).

Unit cell a=3.982 b=3.982 c=6.885 alpha=90.00 beta=90.00 gamma=90.00
Fractional positions:
Ho (0.000, 0.000, 0.250)
Ho (0.000, 0.000, 0.750)
Cd (0.500, 0.500, 0.000)
Bi (0.500, 0.500, 0.500)

Output
ΔE to the lowest computed polymorph, eV/f.u.: 0.00

---

no.,volume (Å³ per cell),E_form (eV per atom),density of states at the Fermi level (states/eV/atom)
1,350,0.020,0.357
2,345,0.033,0.274
3,215,0.021,0.355
4,114,0.007,0.066
5,277,0.012,0.540
6,106,0.199,1.687
7,104,-0.413,0.293
8,108,-0.246,0.821
9,99,0.154,0.612
10,117,0.196,0.679
11,110,-0.392,1.213
12,111,-0.352,0.544
13,486,-0.238,0.824
14,315,-0.362,0.993
15,415,-0.367,1.015
16,323,-0.289,1.084
17,103,-0.365,0.309
18,327,-0.175,1.034
19,448,-0.078,0.321
20,109,-0.463,0.736